[1]
PBE Tm3SiGe, optimized geometry; total energy = -5.247 eV/atom; DOS at the Fermi energy = 0.958 states/eV/atom
1.0
7.822 -1.868 0.000
7.822 1.868 0.000
-0.549 0.000 8.146
Tm Si Ge
6 2 2
Direct
0.046 0.046 0.190
0.241 0.241 0.821
0.404 0.404 0.425
0.596 0.596 0.575
0.759 0.759 0.179
0.954 0.954 0.810
0.389 0.389 0.067
0.611 0.611 0.933
0.204 0.204 0.424
0.796 0.796 0.576

[2]
PBE CaPmY2Sb4, optimized geometry; total energy = -5.586 eV/atom; DOS at the Fermi energy = 0.453 states/eV/atom
1.0
7.708 0.000 0.000
0.000 4.426 0.000
-2.542 0.000 7.319
Ca Pm Y Sb
1 1 2 4
Direct
0.000 0.000 0.000
0.500 0.500 0.000
0.000 0.500 0.500
0.500 0.000 0.500
0.248 0.000 0.743
0.254 0.500 0.259
0.746 0.500 0.741
0.752 0.000 0.257

[3]
PBE BaTmPdO4, optimized geometry; total energy = -6.540 eV/atom; DOS at the Fermi energy = 0.046 states/eV/atom
1.0
-3.341 3.448 5.087
3.341 -3.448 5.087
3.341 3.448 -5.087
Ba Tm Pd O
2 2 2 8
Direct
0.389 0.139 0.250
0.611 0.861 0.750
0.000 0.500 0.500
0.500 0.500 0.000
0.000 0.000 0.500
0.000 0.500 0.000
0.161 0.725 0.437
0.212 0.275 0.937
0.247 0.288 0.541
0.247 0.707 0.959
0.753 0.293 0.041
0.753 0.712 0.459
0.788 0.725 0.063
0.839 0.275 0.563